First-principles (PBE-GGA) data for a geometry-optimized BaZn3Ag structure, as listed in the Alexandria database.

Computed properties:
Symmetry: P2_1/c
V: 482 Å³ per cell
Crystal system: monoclinic
Energy of formation: -0.154 eV per atom
E_tot: -37.46 eV for the cell shown

a b c (Å): 8.3301 6.6952 9.4166
angles (deg): 90.00 113.37 90.00
Sites, in units of the cell vectors:
Ba (0.1525, 0.0192, 0.2282)
Ba (0.1525, 0.4808, 0.7282)
Ba (0.8475, 0.5192, 0.2718)
Ba (0.8475, 0.9808, 0.7718)
Zn (0.1503, 0.5215, 0.0977)
Zn (0.1503, 0.9785, 0.5977)
Zn (0.3380, 0.0052, 0.8797)
Zn (0.3380, 0.4948, 0.3797)
Zn (0.4093, 0.7201, 0.0902)
Zn (0.4093, 0.7799, 0.5902)
Zn (0.5907, 0.2201, 0.4098)
Zn (0.5907, 0.2799, 0.9098)
Zn (0.6620, 0.5052, 0.6203)
Zn (0.6620, 0.9948, 0.1203)
Zn (0.8497, 0.0215, 0.4023)
Zn (0.8497, 0.4785, 0.9023)
Ag (0.4233, 0.1953, 0.6022)
Ag (0.4233, 0.3047, 0.1022)
Ag (0.5767, 0.6953, 0.8978)
Ag (0.5767, 0.8047, 0.3978)